Entry from Alexandria via LeMat-Bulk: a relaxed structure of V2ZnCu2O8 (GGA+U).

Unit cell a=6.527 b=8.417 c=11.850 alpha=90.00 beta=90.58 gamma=90.00
Fractional coordinates of all 52 atoms:
V1 0.103 0.044 0.344
V2 0.103 0.456 0.844
V3 0.394 0.592 0.367
V4 0.394 0.908 0.867
V5 0.606 0.092 0.133
V6 0.606 0.408 0.633
V7 0.897 0.544 0.156
V8 0.897 0.956 0.656
Zn1 0.106 0.171 0.053
Zn2 0.106 0.329 0.553
Zn3 0.894 0.671 0.447
Zn4 0.894 0.829 0.947
Cu1 0.237 0.684 0.626
Cu2 0.237 0.816 0.126
Cu3 0.378 0.053 0.630
Cu4 0.378 0.447 0.130
Cu5 0.622 0.553 0.870
Cu6 0.622 0.947 0.370
Cu7 0.763 0.184 0.874
Cu8 0.763 0.316 0.374
O1 0.038 0.237 0.396
O2 0.038 0.263 0.896
O3 0.086 0.098 0.616
O4 0.086 0.402 0.116
O5 0.120 0.043 0.199
O6 0.120 0.457 0.699
O7 0.193 0.584 0.470
O8 0.193 0.916 0.970
O9 0.315 0.636 0.226
O10 0.315 0.864 0.726
O11 0.338 0.510 0.899
O12 0.338 0.990 0.399
O13 0.416 0.224 0.086
O14 0.416 0.276 0.586
O15 0.495 0.094 0.862
O16 0.495 0.406 0.362
O17 0.505 0.594 0.638
O18 0.505 0.906 0.138
O19 0.584 0.724 0.414
O20 0.584 0.776 0.914
O21 0.662 0.010 0.601
O22 0.662 0.490 0.101
O23 0.685 0.136 0.274
O24 0.685 0.364 0.774
O25 0.807 0.084 0.030
O26 0.807 0.416 0.530
O27 0.880 0.543 0.301
O28 0.880 0.957 0.801
O29 0.914 0.598 0.884
O30 0.914 0.902 0.384
O31 0.962 0.737 0.104
O32 0.962 0.763 0.604

Output
D(E_F) = 0.55 states/eV/f.u.
SG = No. 14
DFT total energy = -327.0 eV/cell